(1)
CoHgSbTe2 | meta-GGA SCAN | PBEsol geometry

a = 4.685 Å, b = 5.147 Å, c = 5.147 Å
α = 90.00°, β = 90.00°, γ = 90.00°
Positions (direct):
Hg1 0.500 0.500 0.500
Co1 0.000 0.000 0.000
Sb1 0.500 0.000 0.000
Te1 0.000 0.500 0.000
Te2 0.000 0.000 0.500

Calculated values
As for the total magnetization: 0.000 μB/atom. For the total energy, the calculation gives -39.03 eV per atom.

***

(2)
SrIF2 | meta-GGA SCAN | PBEsol geometry

a = 7.348 Å, b = 6.394 Å, c = 7.348 Å
α = 54.93°, β = 90.00°, γ = 125.07°
Positions (direct):
F1 0.235 0.750 0.875
F2 0.515 0.750 0.375
F3 0.375 0.250 0.235
F4 0.875 0.250 0.515
Sr1 0.250 0.500 0.250
Sr2 0.500 0.000 0.500
I1 0.750 0.500 0.750
I2 0.000 0.000 0.000

Calculated values
As for the total magnetization: 0.250 μB/atom. For the total energy, the calculation gives -19.11 eV per atom.

***

(3)
CoTeAs | meta-GGA SCAN | PBEsol geometry

a = 3.002 Å, b = 3.002 Å, c = 6.327 Å
α = 103.72°, β = 103.72°, γ = 90.00°
Positions (direct):
As1 0.045 0.045 0.090
Te1 0.302 0.302 0.604
Co1 0.653 0.653 0.306

Calculated values
As for the total magnetization: 0.001 μB/atom. For the total energy, the calculation gives -24.69 eV per atom.